[1]
A plane-wave DFT calculation with GGA-PBE was carried out for a relaxed structure of RbTlPRh.

Summary:
Fermi-level density of states (states/eV/f.u.): 2.987
DFT formation energy (eV/atom): -0.404
Raw total energy (eV/cell): -35.426
Volume (Å³ per atom): 28.6
Space-group type: P4/nmm (129)

Unit cell a=4.1282 b=4.1282 c=13.4028 alpha=90.00 beta=90.00 gamma=90.00
With the nearest neighbours (Å) after each atom.
Fractional positions:
Rb (0.2500, 0.2500, 0.2357)  4 P 3.52, 4 Rh 3.77
Rb (0.7500, 0.7500, 0.7643)  4 P 3.52, 4 Rh 3.77
Tl (0.2500, 0.7500, 0.5000)  4 Tl 2.92
Tl (0.7500, 0.2500, 0.5000)  4 Tl 2.92
P (0.2500, 0.2500, 0.9113)  4 Rh 2.38
P (0.7500, 0.7500, 0.0887)  4 Rh 2.38
Rh (0.2500, 0.7500, 0.0000)  4 P 2.38
Rh (0.7500, 0.2500, 0.0000)  4 P 2.38

***

[2]
A plane-wave DFT calculation with GGA-PBE was carried out for a relaxed structure of RbZnP2Rh.

Summary:
Fermi-level density of states (states/eV/f.u.): 4.250
DFT formation energy (eV/atom): 1.091
Raw total energy (eV/cell): -14.959
Volume (Å³ per atom): 23.4
Space-group type: P4/mmm (123)

Unit cell a=4.6664 b=4.6664 c=5.3777 alpha=90.00 beta=90.00 gamma=90.00
With the nearest neighbours (Å) after each atom.
Fractional positions:
Rb (0.0000, 0.0000, 0.0000)  2 Zn 2.69
Zn (0.0000, 0.0000, 0.5000)  4 P 2.33
P (0.0000, 0.5000, 0.5000)  2 Zn 2.33
P (0.5000, 0.0000, 0.5000)  2 Zn 2.33
Rh (0.5000, 0.5000, 0.0000)  4 Rb 3.30, 8 P 3.56

***

[3]
A plane-wave DFT calculation with GGA-PBE was carried out for a relaxed structure of RbP2Ru2.

Summary:
Fermi-level density of states (states/eV/f.u.): 1.170
DFT formation energy (eV/atom): -0.018
Raw total energy (eV/cell): -30.431
Volume (Å³ per atom): 22.1
Space-group type: I4/mmm (139)

Unit cell a=7.7757 b=7.7757 c=7.7757 alpha=150.93 beta=150.93 gamma=41.57
With the nearest neighbours (Å) after each atom.
Fractional positions:
Rb (0.0000, 0.0000, 0.0000)  8 Ru 3.66, 4 Rb 3.90
P (0.2500, 0.7500, 0.5000)  4 Ru 2.31
P (0.7500, 0.2500, 0.5000)  4 Ru 2.31
Ru (0.3349, 0.3349, 0.0000)  4 P 2.31
Ru (0.6651, 0.6651, 0.0000)  4 P 2.31

***

The highest DFT formation energy belongs to which entry? RbZnP2Rh

***

Which of these has the highest volume? RbTlPRh

***

Number 2 is which compound? RbZnP2Rh